A relaxed structure of Rb2CuHgAs. Source: Alexandria via LeMat-Bulk, functional PBE-GGA. Values from VASP.

SG: P4/mmm, No. 123
calculated formation energy: -0.160 eV/atom

```
&SYSTEM
  ibrav = 0, nat = 5, ntyp = 4
/
ATOMIC_SPECIES
Rb 85.47 Rb.upf
Cu 63.55 Cu.upf
Hg 200.59 Hg.upf
As 74.92 As.upf
CELL_PARAMETERS angstrom
6.571 0.000 0.000
0.000 6.571 0.000
0.000 0.000 4.455
ATOMIC_POSITIONS crystal
Rb 0.000 0.500 0.000
Rb 0.500 0.000 0.000
Cu 0.000 0.000 0.000
Hg 0.500 0.500 0.500
As 0.000 0.000 0.500
```

A relaxed structure of LiSb3Au. Source: Alexandria via LeMat-Bulk, functional PBE-GGA. Values from VASP.

SG: Pm-3m, No. 221
E_form (uncorrected): 2.0 eV per formula unit

```
&SYSTEM
  ibrav = 0, nat = 5, ntyp = 3
/
ATOMIC_SPECIES
Li 6.94 Li.upf
Sb 121.76 Sb.upf
Au 196.97 Au.upf
CELL_PARAMETERS angstrom
5.468 0.000 0.000
0.000 5.468 0.000
0.000 0.000 5.468
ATOMIC_POSITIONS crystal
Li 0.000 0.000 0.000
Sb 0.000 0.500 0.500
Sb 0.500 0.000 0.500
Sb 0.500 0.500 0.000
Au 0.500 0.500 0.500
```

Results for spin magnetization: 0.00; 0.00 (in μB per atom, following the order of the records).
Results for DFT total energy: -2.36; -3.12 (in eV/atom, following the order of the records).